1.
# NaPdSe2N | the Alexandria database | GGA-PBE | optimized geometry
# Raw formation energy (kJ/mol of atoms): 33.5
# Spin magnetization (μB per formula unit): 0.7
data_NaPdSe2N
_chemical_formula_sum 'Na1 Pd1 Se2 N1'
_symmetry_space_group_name_H-M 'P 1'
_symmetry_Int_Tables_number 1
_cell_length_a 5.333
_cell_length_b 5.333
_cell_length_c 3.700
_cell_angle_alpha 90.00
_cell_angle_beta 90.00
_cell_angle_gamma 90.00
loop_
_symmetry_equiv_pos_as_xyz
'x,y,z'
loop_
_atom_site_label
_atom_site_type_symbol
_atom_site_fract_x
_atom_site_fract_y
_atom_site_fract_z
Na1 Na 0.000 0.000 0.000
Pd1 Pd 0.500 0.500 0.500
Se1 Se 0.000 0.500 0.500
Se2 Se 0.500 0.000 0.500
N1 N 0.500 0.500 0.000



2.
# TbNd5Dy2Tm | the Alexandria database | GGA-PBE | optimized geometry
# DFT formation energy (meV per atom): 141
# Spin magnetization (μB per formula unit): 0.0
data_TbNd5Dy2Tm
_chemical_formula_sum 'Tb2 Nd10 Dy4 Tm2'
_symmetry_space_group_name_H-M 'P 1'
_symmetry_Int_Tables_number 1
_cell_length_a 10.600
_cell_length_b 10.600
_cell_length_c 10.715
_cell_angle_alpha 90.00
_cell_angle_beta 90.00
_cell_angle_gamma 149.14
loop_
_symmetry_equiv_pos_as_xyz
'x,y,z'
loop_
_atom_site_label
_atom_site_type_symbol
_atom_site_fract_x
_atom_site_fract_y
_atom_site_fract_z
Tb1 Tb 0.199 0.801 0.500
Tb2 Tb 0.801 0.199 0.000
Nd1 Nd 0.016 0.984 0.507
Nd2 Nd 0.280 0.720 0.801
Nd3 Nd 0.297 0.703 0.196
Nd4 Nd 0.385 0.615 0.511
Nd5 Nd 0.483 0.517 0.234
Nd6 Nd 0.517 0.483 0.734
Nd7 Nd 0.615 0.385 0.011
Nd8 Nd 0.703 0.297 0.696
Nd9 Nd 0.720 0.280 0.301
Nd10 Nd 0.984 0.016 0.007
Dy1 Dy 0.112 0.888 0.229
Dy2 Dy 0.115 0.885 0.799
Dy3 Dy 0.885 0.115 0.299
Dy4 Dy 0.888 0.112 0.729
Tm1 Tm 0.407 0.593 0.954
Tm2 Tm 0.593 0.407 0.454



3.
# CeTmGe | the Alexandria database | GGA-PBE | optimized geometry
# DFT formation energy (meV per atom): -317
# Spin magnetization (μB per formula unit): 1.3
data_CeTmGe
_chemical_formula_sum 'Ce2 Tm2 Ge2'
_symmetry_space_group_name_H-M 'P 1'
_symmetry_Int_Tables_number 1
_cell_length_a 11.227
_cell_length_b 11.227
_cell_length_c 11.227
_cell_angle_alpha 21.39
_cell_angle_beta 21.39
_cell_angle_gamma 21.39
loop_
_symmetry_equiv_pos_as_xyz
'x,y,z'
loop_
_atom_site_label
_atom_site_type_symbol
_atom_site_fract_x
_atom_site_fract_y
_atom_site_fract_z
Ce1 Ce 0.191 0.191 0.191
Ce2 Ce 0.809 0.809 0.809
Tm1 Tm 0.377 0.377 0.377
Tm2 Tm 0.623 0.623 0.623
Ge1 Ge 0.091 0.091 0.091
Ge2 Ge 0.909 0.909 0.909



4.
# Ce4PCCl2 | the Alexandria database | GGA-PBE | optimized geometry
# Raw formation energy (kJ/mol of atoms): -119.1
# Spin magnetization (μB per formula unit): 2.6
data_Ce4PCCl2
_chemical_formula_sum 'Ce4 P1 C1 Cl2'
_symmetry_space_group_name_H-M 'P 1'
_symmetry_Int_Tables_number 1
_cell_length_a 6.874
_cell_length_b 3.886
_cell_length_c 7.124
_cell_angle_alpha 90.00
_cell_angle_beta 108.06
_cell_angle_gamma 90.00
loop_
_symmetry_equiv_pos_as_xyz
'x,y,z'
loop_
_atom_site_label
_atom_site_type_symbol
_atom_site_fract_x
_atom_site_fract_y
_atom_site_fract_z
Ce1 Ce 0.214 0.000 0.207
Ce2 Ce 0.236 0.500 0.780
Ce3 Ce 0.764 0.500 0.220
Ce4 Ce 0.786 0.000 0.793
P1 P 0.500 0.000 0.000
C1 C 0.000 0.500 0.000
Cl1 Cl 0.000 0.000 0.500
Cl2 Cl 0.500 0.500 0.500



5.
# MgPPt2 | the Alexandria database | GGA-PBE | optimized geometry
# DFT formation energy (meV per atom): -498
# Spin magnetization (μB per formula unit): 0.0
data_MgPPt2
_chemical_formula_sum 'Mg2 P2 Pt4'
_symmetry_space_group_name_H-M 'P 1'
_symmetry_Int_Tables_number 1
_cell_length_a 4.139
_cell_length_b 3.031
_cell_length_c 9.997
_cell_angle_alpha 90.00
_cell_angle_beta 90.00
_cell_angle_gamma 90.00
loop_
_symmetry_equiv_pos_as_xyz
'x,y,z'
loop_
_atom_site_label
_atom_site_type_symbol
_atom_site_fract_x
_atom_site_fract_y
_atom_site_fract_z
Mg1 Mg 0.000 0.000 0.000
Mg2 Mg 0.000 0.500 0.500
P1 P 0.500 0.000 0.623
P2 P 0.500 0.500 0.123
Pt1 Pt 0.000 0.000 0.732
Pt2 Pt 0.000 0.500 0.232
Pt3 Pt 0.500 0.000 0.388
Pt4 Pt 0.500 0.500 0.888



6.
# BaY2Ho | the Alexandria database | GGA-PBE | optimized geometry
# DFT formation energy (meV per atom): 155
# Spin magnetization (μB per formula unit): 0.0
data_BaY2Ho
_chemical_formula_sum 'Ba1 Y2 Ho1'
_symmetry_space_group_name_H-M 'P 1'
_symmetry_Int_Tables_number 1
_cell_length_a 3.702
_cell_length_b 3.702
_cell_length_c 10.796
_cell_angle_alpha 90.00
_cell_angle_beta 90.00
_cell_angle_gamma 90.00
loop_
_symmetry_equiv_pos_as_xyz
'x,y,z'
loop_
_atom_site_label
_atom_site_type_symbol
_atom_site_fract_x
_atom_site_fract_y
_atom_site_fract_z
Ba1 Ba 0.000 0.000 0.000
Y1 Y 0.500 0.500 0.285
Y2 Y 0.500 0.500 0.715
Ho1 Ho 0.000 0.000 0.500